Arrangement w

## CaGa9Ni2 (PBE-GGA)

Data for crystalline CaGa9Ni2 at its relaxed geometry.

Calculated values
Density (Mg/m³): 6.360
Total moment (μB/f.u.): 0.00
Volume (A^3/atom): 17.1
Fermi-level density of states (states/eV per cell): 17.3

CIF file:
```
data_CaGa9Ni2
_cell_length_a 11.085
_cell_length_b 11.085
_cell_length_c 6.673
_cell_angle_alpha 90.00
_cell_angle_beta 90.00
_cell_angle_gamma 90.00
_space_group_name_H-M_alt 'I 41/a m d'
_space_group_IT_number 141
loop_
_space_group_symop_operation_xyz
'x,y,z'
'-x,-y,-z'
'-y+1/4,x+3/4,z+1/4'
'y+1/4,-x+3/4,-z+1/4'
'-x+1/2,-y,z+1/2'
'x+1/2,y,-z+1/2'
'y+1/4,-x+1/4,z+3/4'
'-y+1/4,x+1/4,-z+3/4'
'x,-y,-z'
'-x,y,z'
'-y+1/4,-x+1/4,-z+3/4'
'y+1/4,x+1/4,z+3/4'
'-x+1/2,y,-z+1/2'
'x+1/2,-y,z+1/2'
'y+1/4,x+3/4,-z+1/4'
'-y+1/4,-x+3/4,z+1/4'
'x+1/2,y+1/2,z+1/2'
'-x+1/2,-y+1/2,-z+1/2'
'-y+3/4,x+1/4,z+3/4'
'y+3/4,-x+1/4,-z+3/4'
'-x,-y+1/2,z'
'x,y+1/2,-z'
'y+3/4,-x+3/4,z+1/4'
'-y+3/4,x+3/4,-z+1/4'
'x+1/2,-y+1/2,-z+1/2'
'-x+1/2,y+1/2,z+1/2'
'-y+3/4,-x+3/4,-z+1/4'
'y+3/4,x+3/4,z+1/4'
'-x,y+1/2,-z'
'x,-y+1/2,z'
'y+3/4,x+1/4,-z+3/4'
'-y+3/4,-x+1/4,z+3/4'
loop_
_atom_site_label
_atom_site_type_symbol
_atom_site_fract_x
_atom_site_fract_y
_atom_site_fract_z
Ca1 Ca 0.000 0.250 0.375
Ga1 Ga 0.000 0.250 0.875
Ga2 Ga 0.120 0.061 0.678
Ni1 Ni 0.000 0.000 0.000
```


Arrangement x

## CaGa9Ni2 (PBE-GGA)

Data for crystalline CaGa9Ni2 at its relaxed geometry.

Calculated values
Density (Mg/m³): 6.083
Total moment (μB/f.u.): 0.00
Volume (A^3/atom): 17.9
Fermi-level density of states (states/eV per cell): 3.6

CIF file:
```
data_CaGa9Ni2
_cell_length_a 7.9825
_cell_length_b 7.9825
_cell_length_c 3.8831
_cell_angle_alpha 90.00
_cell_angle_beta 90.00
_cell_angle_gamma 120.00
_space_group_name_H-M_alt 'P 6/m m m'
_space_group_IT_number 191
_space_group_name_Hall '-P 6 2'
loop_
_atom_site_label
_atom_site_type_symbol
_atom_site_fract_x
_atom_site_fract_y
_atom_site_fract_z
Ca1 Ca 0.0000 0.0000 0.0000
Ga1 Ga 0.0000 0.5000 0.0000
Ga2 Ga 0.2048 0.4096 0.5000
Ni1 Ni 0.3333 0.6667 0.0000
```


Of them, the most stable is arrangement x and the least stable is arrangement w.


Arrangement w

## CaPrGaNi (PBE-GGA)

Data for crystalline CaPrGaNi at its relaxed geometry.

Calculated values
Density (Mg/m³): 5.251
Total moment (μB/f.u.): 0.00
Volume (A^3/atom): 24.5
Fermi-level density of states (states/eV per cell): 6.2

CIF file:
```
data_CaPrGaNi
_cell_length_a 3.920
_cell_length_b 4.252
_cell_length_c 11.741
_cell_angle_alpha 90.00
_cell_angle_beta 90.00
_cell_angle_gamma 90.00
_space_group_name_H-M_alt 'A m m 2'
_space_group_IT_number 38
loop_
_space_group_symop_operation_xyz
'x,y,z'
'-x,-y,z'
'-x,y,z'
'x,-y,z'
'x,y+1/2,z+1/2'
'-x,-y+1/2,z+1/2'
'-x,y+1/2,z+1/2'
'x,-y+1/2,z+1/2'
loop_
_atom_site_label
_atom_site_type_symbol
_atom_site_fract_x
_atom_site_fract_y
_atom_site_fract_z
Ca1 Ca 0.000 0.000 0.000
Pr1 Pr 0.500 0.000 0.289
Ga1 Ga 0.500 0.000 0.588
Ni1 Ni 0.000 0.000 0.721
```


Arrangement x

## CaPrGaNi (PBE-GGA)

Data for crystalline CaPrGaNi at its relaxed geometry.

Calculated values
Density (Mg/m³): 5.531
Total moment (μB/f.u.): 0.00
Volume (A^3/atom): 23.2
Fermi-level density of states (states/eV per cell): 15.9

CIF file:
```
data_CaPrGaNi
_cell_length_a 7.189
_cell_length_b 7.189
_cell_length_c 7.189
_cell_angle_alpha 90.00
_cell_angle_beta 90.00
_cell_angle_gamma 90.00
_space_group_name_H-M_alt 'F -4 3 m'
_space_group_IT_number 216
_space_group_name_Hall 'F -4 2 3'
loop_
_atom_site_label
_atom_site_type_symbol
_atom_site_fract_x
_atom_site_fract_y
_atom_site_fract_z
Ca1 Ca 0.000 0.000 0.000
Pr1 Pr 0.000 0.000 0.500
Ga1 Ga 0.250 0.250 0.750
Ni1 Ni 0.250 0.250 0.250
```


Of them, the most stable is arrangement w and the least stable is arrangement x.